#one
# PBE PmNdAlGa, relaxed
data_PmNdAlGa
_space_group_name_H-M_alt 'F -4 3 m'
_space_group_IT_number 216
_space_group_name_Hall 'F -4 2 3'
_cell_length_a 7.399
_cell_length_b 7.399
_cell_length_c 7.399
_cell_angle_alpha 90.00
_cell_angle_beta 90.00
_cell_angle_gamma 90.00
loop_
_atom_site_label
_atom_site_fract_x
_atom_site_fract_y
_atom_site_fract_z
Pm1 0.000 0.000 0.000
Nd1 0.000 0.000 0.500
Al1 0.250 0.250 0.750
Ga1 0.250 0.250 0.250
# D(E_F) (states/eV/cell): 5.4
# Total magnetization (μB per cell): 0.00


#two
# PBE PmNdAlGa, relaxed
data_PmNdAlGa
_space_group_name_H-M_alt 'A m m 2'
_space_group_IT_number 38
_space_group_name_Hall 'A 2 -2'
_cell_length_a 4.199
_cell_length_b 4.493
_cell_length_c 11.387
_cell_angle_alpha 90.00
_cell_angle_beta 90.00
_cell_angle_gamma 90.00
loop_
_atom_site_label
_atom_site_fract_x
_atom_site_fract_y
_atom_site_fract_z
Pm1 0.000 0.000 0.000
Nd1 0.500 0.000 0.716
Al1 0.500 0.000 0.425
Ga1 0.000 0.000 0.286
# D(E_F) (states/eV/cell): 8.8
# Total magnetization (μB per cell): 0.00


Name the least stable of them. #one.


#one
# PBE PrNdAlGa, relaxed
data_PrNdAlGa
_space_group_name_H-M_alt 'F -4 3 m'
_space_group_IT_number 216
_space_group_name_Hall 'F -4 2 3'
_cell_length_a 7.458
_cell_length_b 7.458
_cell_length_c 7.458
_cell_angle_alpha 90.00
_cell_angle_beta 90.00
_cell_angle_gamma 90.00
loop_
_atom_site_label
_atom_site_fract_x
_atom_site_fract_y
_atom_site_fract_z
Pr1 0.000 0.000 0.000
Nd1 0.000 0.000 0.500
Al1 0.250 0.250 0.250
Ga1 0.250 0.250 0.750
# D(E_F) (states/eV/cell): 5.3
# Total magnetization (μB per cell): 0.00


#two
# PBE PrNdAlGa, relaxed
data_PrNdAlGa
_space_group_name_H-M_alt 'A m m 2'
_space_group_IT_number 38
_space_group_name_Hall 'A 2 -2'
_cell_length_a 4.226
_cell_length_b 4.513
_cell_length_c 11.475
_cell_angle_alpha 90.00
_cell_angle_beta 90.00
_cell_angle_gamma 90.00
loop_
_atom_site_label
_atom_site_fract_x
_atom_site_fract_y
_atom_site_fract_z
Pr1 0.000 0.000 0.000
Nd1 0.500 0.000 0.285
Al1 0.000 0.000 0.708
Ga1 0.500 0.000 0.572
# D(E_F) (states/eV/cell): 8.9
# Total magnetization (μB per cell): 0.00


Name the least stable of them. #one.


#one
# PBE TbNdAlGa, relaxed
data_TbNdAlGa
_space_group_name_H-M_alt 'A m m 2'
_space_group_IT_number 38
_space_group_name_Hall 'A 2 -2'
_cell_length_a 4.158
_cell_length_b 4.468
_cell_length_c 11.241
_cell_angle_alpha 90.00
_cell_angle_beta 90.00
_cell_angle_gamma 90.00
loop_
_atom_site_label
_atom_site_fract_x
_atom_site_fract_y
_atom_site_fract_z
Tb1 0.000 0.000 0.000
Nd1 0.500 0.000 0.718
Al1 0.500 0.000 0.430
Ga1 0.000 0.000 0.287
# D(E_F) (states/eV/cell): 8.0
# Total magnetization (μB per cell): 0.00


#two
# PBE TbNdAlGa, relaxed
data_TbNdAlGa
_space_group_name_H-M_alt 'F -4 3 m'
_space_group_IT_number 216
_space_group_name_Hall 'F -4 2 3'
_cell_length_a 7.319
_cell_length_b 7.319
_cell_length_c 7.319
_cell_angle_alpha 90.00
_cell_angle_beta 90.00
_cell_angle_gamma 90.00
loop_
_atom_site_label
_atom_site_fract_x
_atom_site_fract_y
_atom_site_fract_z
Tb1 0.000 0.000 0.000
Nd1 0.000 0.000 0.500
Al1 0.250 0.250 0.250
Ga1 0.250 0.250 0.750
# D(E_F) (states/eV/cell): 5.3
# Total magnetization (μB per cell): 0.00


Name the least stable of them. #two.